Entry 1:
Here is crystalline Tb8HoTh2 at its relaxed geometry from the Alexandria database. Energies are from GGA-PBE.

a = 10.076 Å, b = 10.076 Å, c = 5.609 Å
α = 92.15°, β = 92.15°, γ = 40.89°
Element x y z (fractional)
Tb: 0.047 0.047 0.236
Tb: 0.099 0.639 0.263
Tb: 0.318 0.318 0.769
Tb: 0.361 0.901 0.737
Tb: 0.639 0.099 0.263
Tb: 0.682 0.682 0.231
Tb: 0.901 0.361 0.737
Tb: 0.953 0.953 0.764
Ho: 0.500 0.500 0.000
Th: 0.219 0.219 0.264
Th: 0.781 0.781 0.736

=====

Entry 2:
Here is crystalline Tb6HoTh8 at its relaxed geometry from the Alexandria database. Energies are from GGA-PBE.

a = 9.262 Å, b = 9.262 Å, c = 6.752 Å
α = 90.00°, β = 90.00°, γ = 120.00°
Element x y z (fractional)
Tb: 0.081 0.429 0.162
Tb: 0.348 0.919 0.162
Tb: 0.429 0.348 0.838
Tb: 0.571 0.652 0.162
Tb: 0.652 0.081 0.838
Tb: 0.919 0.571 0.838
Ho: 0.000 0.000 0.000
Th: 0.032 0.280 0.665
Th: 0.248 0.968 0.665
Th: 0.280 0.248 0.335
Th: 0.333 0.667 0.609
Th: 0.667 0.333 0.391
Th: 0.720 0.752 0.665
Th: 0.752 0.032 0.335
Th: 0.968 0.720 0.335

=====

Entry 3:
Here is crystalline Tb9Ho3Th2 at its relaxed geometry from the Alexandria database. Energies are from GGA-PBE.

a = 5.620 Å, b = 9.917 Å, c = 9.918 Å
α = 62.77°, β = 73.82°, γ = 73.90°
Element x y z (fractional)
Tb: 0.000 0.000 0.000
Tb: 0.000 0.340 0.660
Tb: 0.405 0.931 0.263
Tb: 0.407 0.602 0.591
Tb: 0.601 0.055 0.715
Tb: 0.605 0.398 0.398
Tb: 0.606 0.738 0.058
Tb: 0.801 0.041 0.364
Tb: 0.804 0.704 0.701
Ho: 0.010 0.663 0.323
Ho: 0.407 0.264 0.924
Ho: 0.793 0.380 0.040
Th: 0.214 0.283 0.296
Th: 0.215 0.636 0.944

=====

Entry 4:
Here is crystalline Tb7Ho3Th at its relaxed geometry from the Alexandria database. Energies are from GGA-PBE.

Output
Polymorph energy (0 for the lowest one)   0.39 eV/f.u.

a = 7.056 Å, b = 7.056 Å, c = 8.616 Å
α = 90.00°, β = 90.00°, γ = 120.00°
Element x y z (fractional)
Tb: 0.000 0.000 0.000
Tb: 0.165 0.331 0.665
Tb: 0.165 0.835 0.665
Tb: 0.503 0.006 0.996
Tb: 0.503 0.497 0.996
Tb: 0.669 0.835 0.665
Tb: 0.994 0.497 0.996
Ho: 0.336 0.168 0.334
Ho: 0.832 0.168 0.334
Ho: 0.832 0.664 0.334
Th: 0.667 0.333 0.665

=====

Per-record DFT formation energy, kJ per mole of atoms: 19.3, 22.9, 19.4, 18.3